# VHgOF2

An optimized crystal structure of VHgOF2 (GGA+U, the Alexandria database).

abc: 4.5134 4.5134 4.2167
angles: 90.00 90.00 90.00
Closest atoms and distances in Å follow each position.
Element x y z (fractional)
F 0.5000 0.0000 0.0000  2 Hg 2.26
F 0.0000 0.5000 0.0000  2 Hg 2.26
V 0.5000 0.5000 0.5000  8 F 3.09, 4 O 3.19
O 0.0000 0.0000 0.5000  2 Hg 2.11
Hg 0.0000 0.0000 0.0000  2 O 2.11, 4 F 2.26

Results
V (A^3/atom): 17.18
D(E_F) (states/eV/f.u.): 10.2
Magnetization (Bohr magnetons per cell): 3.3
ΔE to the lowest computed polymorph (meV per atom): 1237.7